<a>
Material: Er3InCo
Method: DFT, PBE-GGA
State: relaxed

The space group is P2_1/m (No. 11) and the conventional cell measures 8.341, 3.804 and 8.552 Å, with angles of 90.00, 112.08 and 90.00 degrees. The inequivalent atoms are Er at (0.035, 0.250, 0.232), Er at (0.317, 0.750, 0.575), Er at (0.328, 0.250, 0.905), In at (0.343, 0.750, 0.210) and Co at (0.066, 0.250, 0.584).

The total magnetization comes out at 0.000 μB per atom. For the density, the calculation gives 8.92 g/cm³.

<b>
Material: Er3InCo
Method: DFT, PBE-GGA
State: relaxed

The space group is C2/m (No. 12) and the conventional cell measures 11.648, 5.290 and 8.933 Å, with angles of 90.00, 112.75 and 90.00 degrees. The inequivalent atoms are Er at (0.108, 0.000, 0.218), Er at (0.118, 0.500, 0.913), Er at (0.155, 0.000, 0.663), In at (0.108, 0.500, 0.448) and Co at (0.137, 0.000, 0.943).

The total magnetization comes out at 0.000 μB per atom. For the density, the calculation gives 8.84 g/cm³.

<c>
Material: Er3InCo
Method: DFT, PBE-GGA
State: relaxed

The space group is Pm-3m (No. 221) and the conventional cell measures 5.096, 5.096 and 5.096 Å, with angles of 90.00, 90.00 and 90.00 degrees. The inequivalent atoms are Er at (0.000, 0.000, 0.500), In at (0.500, 0.500, 0.500) and Co at (0.000, 0.000, 0.000).

The total magnetization comes out at 0.000 μB per atom. For the density, the calculation gives 8.47 g/cm³.

Quick one: most stable of them? <a>